Entry 1:
This record from Alexandria via LeMat-Bulk describes an optimized crystal structure of SrAs2OsW. The functional is PBE-GGA.

abc: 4.916 4.916 5.005
angles: 90.00 90.00 90.00
Fractional positions:
Sr  0.000  0.000  0.000
As  0.000  0.500  0.500
As  0.500  0.000  0.500
Os  0.500  0.500  0.500
W  0.500  0.500  0.000

* SG: P4/mmm (123)
* formation enthalpy at 0 K: 0.786 eV per atom
* energy above the most stable polymorph in this dataset: 0.00 eV/f.u.

***

Entry 2:
This record from Alexandria via LeMat-Bulk describes an optimized crystal structure of MgReBr2. The functional is PBE-GGA.

abc: 3.193 3.193 8.582
angles: 90.00 90.00 90.00
Fractional positions:
Mg  0.000  0.000  0.000
Re  0.500  0.500  0.244
Br  0.000  0.000  0.395
Br  0.500  0.500  0.809

* raw formation energy: 0.203 eV per atom
* SG: P4mm (99)
* energy above the most stable polymorph in this dataset: 0.63 eV/f.u.

***

Entry 3:
This record from Alexandria via LeMat-Bulk describes an optimized crystal structure of K3InOs. The functional is PBE-GGA.

abc: 6.199 6.199 6.199
angles: 90.00 90.00 90.00
Fractional positions:
K  0.000  0.000  0.500
K  0.000  0.500  0.000
K  0.500  0.000  0.000
In  0.500  0.500  0.500
Os  0.000  0.000  0.000

* SG: Pm-3m (221)
* formation enthalpy at 0 K: 1.231 eV per atom
* energy above the most stable polymorph in this dataset: 0.00 eV/f.u.

***

Entry 4:
This record from Alexandria via LeMat-Bulk describes an optimized crystal structure of MgZrBe2. The functional is PBE-GGA.

abc: 5.159 5.159 4.776
angles: 107.28 107.28 30.50
Fractional positions:
Mg  0.000  0.000  0.000
Zr  0.203  0.203  0.636
Be  0.441  0.441  0.450
Be  0.766  0.766  0.175

* SG: Cm (8)
* formation enthalpy at 0 K: 0.199 eV per atom

***

Entry 5:
This record from Alexandria via LeMat-Bulk describes an optimized crystal structure of SrCaEu2. The functional is PBE-GGA.

abc: 6.374 6.374 6.374
angles: 60.00 60.00 60.00
Fractional positions:
Sr  0.000  0.000  0.000
Ca  0.500  0.500  0.500
Eu  0.250  0.250  0.250
Eu  0.750  0.750  0.750

* SG: Fm-3m (225)
* formation enthalpy at 0 K: 0.038 eV per atom
* energy above the most stable polymorph in this dataset: 0.03 eV/f.u.

***

Entry 6:
This record from Alexandria via LeMat-Bulk describes an optimized crystal structure of Li2ErAg. The functional is PBE-GGA.

abc: 3.451 3.451 6.767
angles: 90.00 90.00 90.00
Fractional positions:
Li  0.000  0.000  0.189
Li  0.000  0.000  0.811
Er  0.500  0.500  0.500
Ag  0.500  0.500  0.000

* SG: P4/mmm (123)
* formation enthalpy at 0 K: -0.010 eV per atom
* energy above the most stable polymorph in this dataset: 0.12 eV/f.u.

***

Entry 7:
This record from Alexandria via LeMat-Bulk describes an optimized crystal structure of SmEr2Mg4. The functional is PBE-GGA.

abc: 7.098 7.098 5.475
angles: 90.00 90.00 130.30
Fractional positions:
Sm  0.000  0.000  0.000
Er  0.369  0.631  0.500
Er  0.631  0.369  0.500
Mg  0.122  0.878  0.500
Mg  0.250  0.750  0.000
Mg  0.750  0.250  0.000
Mg  0.878  0.122  0.500

* SG: Cmmm (65)
* formation enthalpy at 0 K: 0.378 eV per atom
* energy above the most stable polymorph in this dataset: 1.62 eV/f.u.

***

Entry 8:
This record from Alexandria via LeMat-Bulk describes an optimized crystal structure of NdDyCo. The functional is PBE-GGA.

abc: 6.896 6.896 6.896
angles: 151.28 151.28 41.06
Fractional positions:
Nd  0.000  0.000  0.000
Dy  0.255  0.255  0.000
Co  0.635  0.635  0.000

* SG: I4mm (107)
* formation enthalpy at 0 K: -0.038 eV per atom
* energy above the most stable polymorph in this dataset: 0.18 eV/f.u.

***

Entry 9:
This record from Alexandria via LeMat-Bulk describes an optimized crystal structure of LiPrBeGe2. The functional is PBE-GGA.

abc: 5.900 5.900 5.900
angles: 138.71 138.71 59.81
Fractional positions:
Li  0.000  0.000  0.000
Pr  0.750  0.250  0.500
Be  0.500  0.500  0.000
Ge  0.125  0.625  0.500
Ge  0.375  0.875  0.500

* SG: I-4m2 (119)
* formation enthalpy at 0 K: -0.466 eV per atom

***

Entry 10:
This record from Alexandria via LeMat-Bulk describes an optimized crystal structure of TlInAg2. The functional is PBE-GGA.

abc: 6.176 6.176 6.176
angles: 149.23 130.96 59.02
Fractional positions:
Tl  0.000  0.000  0.000
In  0.283  0.783  0.500
Ag  0.523  0.523  0.000
Ag  0.743  0.243  0.500

* SG: Imm2 (44)
* formation enthalpy at 0 K: 0.092 eV per atom

***

Entry 11:
This record from Alexandria via LeMat-Bulk describes an optimized crystal structure of HfSb2IBr. The functional is PBE-GGA.

abc: 5.586 5.586 5.533
angles: 90.00 90.00 90.00
Fractional positions:
Hf  0.000  0.000  0.000
Sb  0.000  0.500  0.000
Sb  0.500  0.000  0.000
I  0.000  0.000  0.500
Br  0.500  0.500  0.500

* raw formation energy: 0.043 eV per atom
* SG: P4/mmm (123)
* energy above the most stable polymorph in this dataset: 0.00 eV/f.u.

***

Total magnetization across the listed records, respectively: 2.31 0.00 2.94 0.00 15.25 0.00 0.00 0.70 0.00 0.00 0.00 μB/f.u..
Final energy across the listed records, respectively: -6.246 -4.144 -2.221 -4.200 -6.021 -2.821 -2.511 -5.530 -4.397 -2.610 -4.241 eV/atom.